(1)
Entry from Alexandria via LeMat-Bulk: an optimized crystal structure of PmSc3Ag2 (PBE-GGA).

a b c (Å): 5.0704 8.7448 8.3371
angles (deg): 124.69 90.00 106.85
Last column: nearest neighbours and their distance in Å.
Fractional positions:
Sc (0.0640, 0.1281, 0.4075)  3 Ag 3.03, 4 Sc 3.23-3.31
Sc (0.3850, 0.7700, 0.3065)  4 Ag 2.75-3.07
Sc (0.6150, 0.2300, 0.6935)  4 Ag 2.75-3.07
Sc (0.9360, 0.8719, 0.5925)  3 Ag 3.03, 4 Sc 3.23-3.31
Sc (0.6970, 0.3940, 0.4004)  2 Ag 2.71-2.99, 2 Sc 2.97
Sc (0.3030, 0.6060, 0.5996)  2 Ag 2.71-2.99, 2 Sc 2.97
Ag (0.5045, 0.0090, 0.8385)  4 Sc 2.71-3.03, 1 Ag 2.78
Ag (0.7697, 0.5393, 0.1481)  5 Sc 2.98-3.07, 3 Pm 3.17-3.23, 2 Ag 3.32
Ag (0.2303, 0.4607, 0.8519)  5 Sc 2.98-3.07, 3 Pm 3.17-3.23, 2 Ag 3.32
Ag (0.4955, 0.9910, 0.1615)  4 Sc 2.71-3.03, 1 Ag 2.78
Pm (0.1331, 0.2662, 0.0816)  5 Ag 3.16-3.23, 6 Sc 3.35-3.53
Pm (0.8669, 0.7338, 0.9184)  5 Ag 3.16-3.23, 6 Sc 3.35-3.53

Properties
ΔE to the lowest computed polymorph ... 0.045 eV/atom
Crystal system ... monoclinic
Fermi-level density of states ... 15.38 states/eV/cell
Formation enthalpy at 0 K ... -0.109 eV/atom


(2)
Entry from Alexandria via LeMat-Bulk: an optimized crystal structure of PrSbF (PBE-GGA).

a b c (Å): 4.2351 7.1118 7.4586
angles (deg): 130.92 106.49 90.00
Last column: nearest neighbours and their distance in Å.
Fractional positions:
F (0.7837, 0.6606, 0.5673)  3 Pr 2.43-2.46
F (0.2163, 0.3394, 0.4327)  3 Pr 2.43-2.46
Pr (0.1890, 0.6406, 0.3779)  3 F 2.43-2.46
Pr (0.8110, 0.3594, 0.6221)  3 F 2.43-2.46
Sb (0.4527, 0.2449, 0.9053)  1 Sb 2.88
Sb (0.5473, 0.7551, 0.0947)  1 Sb 2.88

Properties
ΔE to the lowest computed polymorph ... 0.000 eV/atom
Crystal system ... monoclinic
Fermi-level density of states ... 0.81 states/eV/cell


(3)
Entry from Alexandria via LeMat-Bulk: an optimized crystal structure of Tb8Pt2Au (PBE-GGA).

a b c (Å): 5.7880 7.8282 7.8282
angles (deg): 114.10 99.29 99.29
Last column: nearest neighbours and their distance in Å.
Fractional positions:
Tb (0.8062, 0.6314, 0.6314)  1 Au 3.13, 2 Pt 3.15, 1 Tb 3.47
Tb (0.5794, 0.0848, 0.3392)  2 Pt 2.82-2.88
Tb (0.3908, 0.6670, 0.9215)  2 Pt 2.85-2.88
Tb (0.1758, 0.3768, 0.3768)  1 Au 3.10, 2 Pt 3.15, 1 Tb 3.47
Tb (0.9911, 0.7743, 0.2295)  2 Pt 3.06-3.07, 1 Au 3.07
Tb (0.3908, 0.9215, 0.6670)  2 Pt 2.85-2.88
Tb (0.9911, 0.2295, 0.7743)  2 Pt 3.06-3.07, 1 Au 3.07
Tb (0.5794, 0.3392, 0.0848)  2 Pt 2.82-2.88
Au (0.1130, 0.0027, 0.0027)  8 Tb 3.07-3.22
Pt (0.4910, 0.6988, 0.3079)  8 Tb 2.82-3.15
Pt (0.4910, 0.3079, 0.6988)  8 Tb 2.82-3.15

Properties
Crystal system ... monoclinic
Fermi-level density of states ... 14.22 states/eV/cell
Formation enthalpy at 0 K ... -0.529 eV/atom


(4)
Entry from Alexandria via LeMat-Bulk: an optimized crystal structure of KMgMo2 (PBE-GGA).

a b c (Å): 2.7182 2.7182 11.0108
angles (deg): 90.00 90.00 104.34
Last column: nearest neighbours and their distance in Å.
Fractional positions:
Mo (0.0000, 0.0000, 0.9653)  4 Mo 2.72, 2 Mg 2.90
Mo (0.0000, 0.0000, 0.5347)  4 Mo 2.72, 2 Mg 2.90
K (0.5000, 0.5000, 0.2500)  4 K 2.72
Mg (0.5000, 0.5000, 0.7500)  4 Mg 2.72, 4 Mo 2.90

Properties
Crystal system ... orthorhombic
Fermi-level density of states ... 3.72 states/eV/cell
Formation enthalpy at 0 K ... 0.904 eV/atom


(5)
Entry from Alexandria via LeMat-Bulk: an optimized crystal structure of Tb3PmIr3 (PBE-GGA).

a b c (Å): 6.0009 5.9231 6.0009
angles (deg): 109.21 109.73 109.21
Last column: nearest neighbours and their distance in Å.
Fractional positions:
Tb (0.0000, 0.0035, 0.4996)  6 Ir 2.96-3.00
Tb (0.4996, 0.0035, 0.0000)  6 Ir 2.96-3.00
Tb (0.5004, 0.5039, 0.5004)  6 Ir 2.96-3.00
Ir (0.5002, 0.5037, 0.0000)  6 Tb 2.96-3.00, 2 Pm 3.00
Ir (0.0000, 0.5037, 0.5002)  6 Tb 2.96-3.00, 2 Pm 3.00
Ir (0.4998, 0.0036, 0.4998)  6 Tb 2.96-3.00, 2 Pm 3.00
Pm (0.0000, 0.5031, 0.0000)  6 Ir 3.00

Properties
ΔE to the lowest computed polymorph ... 0.000 eV/atom
Crystal system ... trigonal
Fermi-level density of states ... 5.94 states/eV/cell
Formation enthalpy at 0 K ... -0.662 eV/atom


(6)
Entry from Alexandria via LeMat-Bulk: an optimized crystal structure of Nd6Sm2Tm3 (PBE-GGA).

a b c (Å): 4.7707 4.7707 17.3865
angles (deg): 97.89 97.89 90.00
Last column: nearest neighbours and their distance in Å.
Fractional positions:
Tm (0.8053, 0.8053, 0.6105)  9 Nd 3.39-3.46
Tm (0.0000, 0.0000, 0.0000)  8 Sm 3.71
Tm (0.1947, 0.1947, 0.3895)  9 Nd 3.39-3.46
Nd (0.7051, 0.7050, 0.4101)  5 Tm 3.39-3.42, 4 Nd 3.72
Nd (0.1214, 0.6214, 0.2429)  6 Nd 3.37-3.72, 2 Tm 3.46, 2 Sm 3.53
Nd (0.2949, 0.2950, 0.5899)  5 Tm 3.39-3.42, 4 Nd 3.72
Nd (0.3786, 0.8786, 0.7571)  6 Nd 3.37-3.72, 2 Tm 3.46, 2 Sm 3.53
Nd (0.8786, 0.3786, 0.7571)  6 Nd 3.37-3.72, 2 Tm 3.46, 2 Sm 3.53
Nd (0.6214, 0.1214, 0.2429)  6 Nd 3.37-3.72, 2 Tm 3.46, 2 Sm 3.53
Sm (0.5451, 0.5451, 0.0901)  1 Sm 3.08
Sm (0.4549, 0.4549, 0.9099)  1 Sm 3.08

Properties
ΔE to the lowest computed polymorph ... 0.277 eV/atom
Crystal system ... tetragonal
Fermi-level density of states ... 15.95 states/eV/cell
Formation enthalpy at 0 K ... 0.294 eV/atom


(7)
Entry from Alexandria via LeMat-Bulk: an optimized crystal structure of NdMg2Rh3 (PBE-GGA).

a b c (Å): 4.6096 4.6096 11.4656
angles (deg): 90.00 90.00 120.00
Last column: nearest neighbours and their distance in Å.
Fractional positions:
Rh (0.0000, 0.0000, 0.7632)  5 Mg 2.72-3.02, 3 Nd 2.85
Rh (0.6667, 0.3333, 0.5825)  4 Mg 2.82-3.04, 4 Nd 2.86-2.95
Rh (0.3333, 0.6667, 0.9222)  7 Mg 2.64-2.81, 1 Nd 2.84
Rh (0.0000, 0.0000, 0.2368)  5 Mg 2.72-3.02, 3 Nd 2.85
Rh (0.3333, 0.6667, 0.4175)  4 Mg 2.82-3.04, 4 Nd 2.86-2.95
Rh (0.6667, 0.3333, 0.0778)  7 Mg 2.64-2.81, 1 Nd 2.84
Nd (0.3333, 0.6667, 0.6748)  8 Rh 2.84-2.95
Nd (0.6667, 0.3333, 0.3252)  8 Rh 2.84-2.95
Mg (0.0000, 0.0000, 0.5000)  8 Rh 2.82-3.02
Mg (0.6667, 0.3333, 0.8479)  7 Rh 2.64-2.83
Mg (0.3333, 0.6667, 0.1521)  7 Rh 2.64-2.83
Mg (0.0000, 0.0000, 0.0000)  8 Rh 2.72-2.81

Properties
Crystal system ... trigonal
Fermi-level density of states ... 5.82 states/eV/cell
Formation enthalpy at 0 K ... -0.532 eV/atom


(8)
Entry from Alexandria via LeMat-Bulk: an optimized crystal structure of CeDy2UN4 (PBE-GGA).

a b c (Å): 4.9331 4.9331 6.0291
angles (deg): 114.15 114.15 90.00
Last column: nearest neighbours and their distance in Å.
Fractional positions:
N (0.9835, 0.4835, 0.9671)  1 U 2.30, 2 Dy 2.47, 2 Ce 2.47
N (0.7517, 0.7517, 0.5033)  3 Dy 2.44-2.47, 2 U 2.47, 1 Ce 2.48
N (0.5165, 0.0165, 0.0329)  1 U 2.30, 2 Ce 2.47, 2 Dy 2.47
N (0.2483, 0.2483, 0.4967)  3 Dy 2.44-2.47, 2 U 2.47, 1 Ce 2.48
Dy (0.2500, 0.7500, 0.5000)  6 N 2.47-2.62
Dy (0.0000, 0.0000, 0.0000)  6 N 2.44-2.47
Ce (0.5000, 0.5000, 0.0000)  6 N 2.47-2.48
U (0.7500, 0.2500, 0.5000)  6 N 2.30-2.47

Properties
Electronic total energy ... -9.014 eV/atom
Crystal system ... tetragonal
Fermi-level density of states ... 6.77 states/eV/cell


(9)
Entry from Alexandria via LeMat-Bulk: an optimized crystal structure of YMgP2Ir5 (PBE-GGA).

a b c (Å): 3.9820 3.9820 10.5353
angles (deg): 90.00 90.00 90.00
Last column: nearest neighbours and their distance in Å.
Fractional positions:
Ir (0.0000, 0.5000, 0.8225)  2 P 2.28
Ir (0.0000, 0.5000, 0.1775)  2 P 2.28
Ir (0.5000, 0.0000, 0.8225)  2 P 2.28
Ir (0.5000, 0.0000, 0.1775)  2 P 2.28
Ir (0.5000, 0.5000, 0.5000)  2 P 2.28
P (0.5000, 0.5000, 0.7166)  5 Ir 2.28
P (0.5000, 0.5000, 0.2834)  5 Ir 2.28
Y (0.0000, 0.0000, 0.5000)  4 Ir 2.82
Mg (0.0000, 0.0000, 0.0000)  8 Ir 2.73

Properties
Crystal system ... tetragonal
Fermi-level density of states ... 5.83 states/eV/cell
Formation enthalpy at 0 K ... -0.383 eV/atom


(10)
Entry from Alexandria via LeMat-Bulk: an optimized crystal structure of UCoNi (PBE-GGA).

a b c (Å): 2.7421 2.7421 6.8592
angles (deg): 90.00 90.00 120.00
Last column: nearest neighbours and their distance in Å.
Fractional positions:
Co (0.3333, 0.6667, 0.6952)  3 Ni 2.47, 6 Co 2.74
Ni (0.0000, 0.0000, 0.9716)  3 Co 2.47, 6 Ni 2.74
U (0.6667, 0.3333, 0.3332)  6 U 2.74, 3 Ni 2.94, 3 Co 2.94

Properties
ΔE to the lowest computed polymorph ... 0.549 eV/atom
Crystal system ... trigonal
Fermi-level density of states ... 5.86 states/eV/cell
Formation enthalpy at 0 K ... 0.323 eV/atom


(11)
Entry from Alexandria via LeMat-Bulk: an optimized crystal structure of NbFePS2 (PBE-GGA).

a b c (Å): 4.7297 4.7297 4.9499
angles (deg): 90.00 90.00 90.00
Last column: nearest neighbours and their distance in Å.
Fractional positions:
S (0.0000, 0.5000, 0.0000)  2 Nb 2.36
S (0.5000, 0.0000, 0.0000)  2 Nb 2.36
Nb (0.0000, 0.0000, 0.0000)  4 S 2.36, 2 P 2.47
Fe (0.5000, 0.5000, 0.5000)  4 P 3.34, 8 S 3.42
P (0.0000, 0.0000, 0.5000)  2 Nb 2.47

Properties
ΔE to the lowest computed polymorph ... 0.008 eV/atom
Crystal system ... tetragonal
Fermi-level density of states ... 5.44 states/eV/cell


(12)
Entry from Alexandria via LeMat-Bulk: an optimized crystal structure of LuVSi (PBE-GGA).

a b c (Å): 3.6543 4.2631 4.2631
angles (deg): 120.00 90.00 90.00
Last column: nearest neighbours and their distance in Å.
Fractional positions:
V (0.1667, 0.6667, 0.3333)  3 Si 2.46
Si (0.1666, 0.0000, 0.0000)  3 V 2.46
Lu (0.6667, 0.3333, 0.6667)  6 Si 3.07, 6 V 3.07

Properties
Electronic total energy ... -6.574 eV/atom
Crystal system ... hexagonal
Fermi-level density of states ... 1.57 states/eV/cell


(13)
Entry from Alexandria via LeMat-Bulk: an optimized crystal structure of HPdRhW2 (PBE-GGA).

a b c (Å): 3.9550 3.9550 4.0462
angles (deg): 90.00 90.00 90.00
Last column: nearest neighbours and their distance in Å.
Fractional positions:
Pd (0.5000, 0.5000, 0.5000)  4 Rh 2.80, 8 W 2.83
W (0.0000, 0.5000, 0.0000)  2 H 1.98
W (0.5000, 0.0000, 0.0000)  2 H 1.98
H (0.0000, 0.0000, 0.0000)  4 W 1.98, 2 Rh 2.02
Rh (0.0000, 0.0000, 0.5000)  2 H 2.02

Properties
ΔE to the lowest computed polymorph ... 0.000 eV/atom
Crystal system ... tetragonal
Fermi-level density of states ... 4.80 states/eV/cell


(14)
Entry from Alexandria via LeMat-Bulk: an optimized crystal structure of VTe2Cl (PBE-GGA).

a b c (Å): 11.7832 11.7832 11.7832
angles (deg): 15.62 15.62 15.62
Last column: nearest neighbours and their distance in Å.
Fractional positions:
V (0.0000, 0.0000, 0.0000)  2 Te 2.70
Te (0.0774, 0.0774, 0.0774)  1 V 2.70
Te (0.9226, 0.9226, 0.9226)  1 V 2.70
Cl (0.5000, 0.5000, 0.5000)  6 Cl 3.20

Properties
ΔE to the lowest computed polymorph ... 0.753 eV/atom
Crystal system ... trigonal
Fermi-level density of states ... 2.75 states/eV/cell


(15)
Entry from Alexandria via LeMat-Bulk: an optimized crystal structure of Mg2InAu (PBE-GGA).

a b c (Å): 5.8026 5.8026 5.8026
angles (deg): 143.54 132.81 61.06
Last column: nearest neighbours and their distance in Å.
Fractional positions:
In (0.2729, 0.7729, 0.5000)  2 Au 2.96, 8 Mg 2.99-3.29
Au (0.5074, 0.5074, 0.0000)  6 Mg 2.80-2.95, 2 In 2.96
Mg (0.7208, 0.2208, 0.5000)  2 Au 2.80, 4 In 2.99
Mg (0.9990, 0.9990, 0.0000)  4 Au 2.95, 2 Mg 3.21, 4 In 3.24-3.29

Properties
Crystal system ... orthorhombic
Fermi-level density of states ... 1.29 states/eV/cell
Formation enthalpy at 0 K ... -0.267 eV/atom


(16)
Entry from Alexandria via LeMat-Bulk: an optimized crystal structure of CaAcCuAs (PBE-GGA).

a b c (Å): 5.2727 5.2727 5.2727
angles (deg): 60.00 60.00 60.00
Last column: nearest neighbours and their distance in Å.
Fractional positions:
Ca (0.5000, 0.5000, 0.5000)  4 As 3.23, 4 Cu 3.23
As (0.7500, 0.7500, 0.7500)  4 Ca 3.23, 4 Ac 3.23
Cu (0.2500, 0.2500, 0.2500)  4 Ac 3.23, 4 Ca 3.23
Ac (0.0000, 0.0000, 0.0000)  4 Cu 3.23, 4 As 3.23

Properties
Crystal system ... cubic
Fermi-level density of states ... 1.92 states/eV/cell
Formation enthalpy at 0 K ... -0.571 eV/atom


(17)
Entry from Alexandria via LeMat-Bulk: an optimized crystal structure of ReNiP2 (PBE-GGA).

a b c (Å): 4.7953 4.7953 3.0083
angles (deg): 70.27 70.27 106.64
Last column: nearest neighbours and their distance in Å.
Fractional positions:
P (0.0000, 0.0000, 0.0000)  2 Ni 2.36, 2 Re 2.36
P (0.5000, 0.5000, 0.0000)  2 Re 2.36, 2 Ni 2.36
Ni (0.0000, 0.5000, 0.5000)  4 P 2.36
Re (0.5000, 0.0000, 0.5000)  4 P 2.36

Properties
ΔE to the lowest computed polymorph ... 0.536 eV/atom
Crystal system ... monoclinic
Fermi-level density of states ... 2.77 states/eV/cell
Formation enthalpy at 0 K ... 0.278 eV/atom


(18)
Entry from Alexandria via LeMat-Bulk: an optimized crystal structure of CsEuTl4 (PBE-GGA).

a b c (Å): 6.6490 6.6490 6.6490
angles (deg): 60.00 60.00 60.00
Last column: nearest neighbours and their distance in Å.
Fractional positions:
Tl (0.6258, 0.6258, 0.1226)  6 Tl 3.30-3.35
Tl (0.6258, 0.6258, 0.6258)  6 Tl 3.30-3.35
Tl (0.1226, 0.6258, 0.6258)  6 Tl 3.30-3.35
Tl (0.6258, 0.1226, 0.6258)  6 Tl 3.30-3.35
Cs (0.2500, 0.2500, 0.2500)  12 Tl 3.90, 4 Eu 4.07
Eu (0.0000, 0.0000, 0.0000)  12 Tl 3.90, 4 Cs 4.07

Properties
Crystal system ... cubic
Fermi-level density of states ... 13.85 states/eV/cell
Formation enthalpy at 0 K ... -0.120 eV/atom


(19)
Entry from Alexandria via LeMat-Bulk: an optimized crystal structure of LaY2Rh (PBE-GGA).

a b c (Å): 5.8997 5.8997 3.4519
angles (deg): 80.56 80.56 115.99
Last column: nearest neighbours and their distance in Å.
Fractional positions:
Y (0.0000, 0.0000, 0.0000)  4 Y 3.13-3.45, 2 Rh 3.16, 2 La 3.16
Y (0.5000, 0.5000, 0.0000)  4 Y 3.13-3.45, 2 La 3.16, 2 Rh 3.16
La (0.5000, 0.0000, 0.5000)  2 Rh 3.13, 4 Y 3.16, 2 La 3.45
Rh (0.0000, 0.5000, 0.5000)  2 La 3.13, 4 Y 3.16, 2 Rh 3.45

Properties
ΔE to the lowest computed polymorph ... 0.503 eV/atom
Crystal system ... monoclinic
Fermi-level density of states ... 4.56 states/eV/cell
Formation enthalpy at 0 K ... 0.007 eV/atom


(20)
Entry from Alexandria via LeMat-Bulk: an optimized crystal structure of LiNpPt2 (PBE-GGA).

a b c (Å): 2.8441 5.0633 5.0633
angles (deg): 90.00 90.00 90.00
Last column: nearest neighbours and their distance in Å.
Fractional positions:
Pt (0.0000, 0.5000, 0.0000)  2 Pt 2.84, 4 Np 2.90, 4 Li 2.90
Pt (0.0000, 0.0000, 0.5000)  2 Pt 2.84, 4 Li 2.90, 4 Np 2.90
Np (0.5000, 0.5000, 0.5000)  2 Np 2.84, 8 Pt 2.90
Li (0.5000, 0.0000, 0.0000)  2 Li 2.84, 8 Pt 2.90

Properties
Crystal system ... tetragonal
Fermi-level density of states ... 4.96 states/eV/cell
Formation enthalpy at 0 K ... -0.480 eV/atom